Record 1
First-principles (PBE) data for a relaxed KTa4Tc crystal, as listed in Alexandria. Values from VASP.

Properties
Calculated volume = 20.26 Å³/atom
Energy of formation = 650.0 kJ/mol of formula units

```
&SYSTEM
  ibrav = 0, nat = 6, ntyp = 3
/
ATOMIC_SPECIES
K 39.10 K.upf
Ta 180.95 Ta.upf
Tc 98.00 Tc.upf
ATOMIC_POSITIONS angstrom
K 0.000 0.000 0.000
Ta 4.907 2.957 2.957
Ta 2.957 4.907 2.957
Ta 2.957 2.957 4.907
Ta 4.907 4.907 4.907
Tc 1.966 1.966 1.966
CELL_PARAMETERS angstrom
0.000 3.932 3.932
3.932 0.000 3.932
3.932 3.932 0.000
```



Record 2
First-principles (PBE) data for a relaxed K2TaTc crystal, as listed in Alexandria. Values from VASP.

Properties
Calculated volume = 22.70 Å³/atom
E above lowest polymorph = 61.5 kJ per mole of atoms
Energy of formation = 484.5 kJ/mol of formula units

```
&SYSTEM
  ibrav = 0, nat = 4, ntyp = 3
/
ATOMIC_SPECIES
K 39.10 K.upf
Ta 180.95 Ta.upf
Tc 98.00 Tc.upf
ATOMIC_POSITIONS angstrom
K 0.000 0.000 0.000
K 1.610 2.243 0.000
Ta 0.000 2.243 3.142
Tc 1.610 0.000 3.142
CELL_PARAMETERS angstrom
3.220 0.000 0.000
0.000 4.487 0.000
0.000 0.000 6.283
```



Record 3
First-principles (PBE) data for a relaxed KTa2Tc crystal, as listed in Alexandria. Values from VASP.

Properties
Calculated volume = 21.24 Å³/atom
E above lowest polymorph = 13.3 kJ per mole of atoms
Energy of formation = 268.6 kJ/mol of formula units

```
&SYSTEM
  ibrav = 0, nat = 4, ntyp = 3
/
ATOMIC_SPECIES
K 39.10 K.upf
Ta 180.95 Ta.upf
Tc 98.00 Tc.upf
ATOMIC_POSITIONS angstrom
K 0.000 0.000 0.000
Ta 0.000 0.000 7.400
Ta 0.000 0.000 24.632
Tc 0.000 0.000 16.016
CELL_PARAMETERS angstrom
1.516 0.875 10.677
-1.516 0.875 10.677
0.000 -1.750 10.677
```



Record 4
First-principles (PBE) data for a relaxed KTa2Tc crystal, as listed in Alexandria. Values from VASP.

Properties
Calculated volume = 24.18 Å³/atom
E above lowest polymorph = 35.8 kJ per mole of atoms
Energy of formation = 358.8 kJ/mol of formula units

```
&SYSTEM
  ibrav = 0, nat = 4, ntyp = 3
/
ATOMIC_SPECIES
K 39.10 K.upf
Ta 180.95 Ta.upf
Tc 98.00 Tc.upf
ATOMIC_POSITIONS angstrom
K 0.000 0.000 0.000
Ta 2.288 0.000 4.820
Ta 4.821 0.000 3.570
Tc 7.196 0.000 2.471
CELL_PARAMETERS angstrom
4.767 -1.362 0.000
4.767 1.362 0.000
-0.036 0.000 7.446
```